{"formula": "Ta2Pb", "functional": "GGA-PBE", "state": "relaxed", "sg": "I4/mcm, No. 140", "formation_enthalpy_0k_mev_per_atom": 732, "dft_energy_ev_per_atom": -8.405, "lattice_angstrom": [[-3.276, 3.276, 2.927], [3.276, -3.276, 2.927], [3.276, 3.276, -2.927]], "species": ["Pb", "Pb", "Ta", "Ta", "Ta", "Ta"], "fractional_positions": [[0.250, 0.250, 0.000], [0.750, 0.750, 0.000], [0.141, 0.359, 0.500], [0.359, 0.859, 0.219], [0.859, 0.641, 0.500], [0.641, 0.141, 0.781]]}



{"formula": "Ta7Pb6", "functional": "GGA-PBE", "state": "relaxed", "sg": "R-3m, No. 166", "formation_enthalpy_0k_mev_per_atom": 424, "dft_energy_ev_per_atom": -7.670, "lattice_angstrom": [[-1.251, 7.995, 6.829], [0.113, 3.392, 10.029], [4.259, 6.354, 7.322]], "species": ["Ta", "Pb", "Ta", "Pb", "Ta", "Ta", "Pb", "Ta", "Ta", "Pb", "Pb", "Pb", "Ta"], "fractional_positions": [[0.500, 0.500, 0.500], [0.949, 0.949, 0.949], [0.903, 0.418, 0.418], [0.051, 0.051, 0.051], [0.418, 0.903, 0.418], [0.418, 0.418, 0.903], [0.332, 0.332, 0.332], [0.097, 0.582, 0.582], [0.582, 0.097, 0.582], [0.843, 0.843, 0.843], [0.668, 0.668, 0.668], [0.157, 0.157, 0.157], [0.582, 0.582, 0.097]]}



{"formula": "TaPb", "functional": "GGA-PBE", "state": "relaxed", "e_above_lowest_polymorph_ev_per_fu": 0.79, "sg": "R-3m, No. 166", "formation_enthalpy_0k_mev_per_atom": 685, "dft_energy_ev_per_atom": -7.095, "lattice_angstrom": [[-2.269, 2.602, 3.995], [-3.089, -0.461, 4.258], [-0.226, 0.511, 5.251]], "species": ["Pb", "Ta"], "fractional_positions": [[0.000, 0.000, 0.000], [0.500, 0.500, 0.500]]}



{"formula": "Ta2Pb", "functional": "GGA-PBE", "state": "relaxed", "sg": "Fd-3m, No. 227", "formation_enthalpy_0k_mev_per_atom": 542, "dft_energy_ev_per_atom": -8.596, "lattice_angstrom": [[-3.979, -3.778, -1.406], [-2.241, -3.363, 3.969], [-5.357, 0.773, 1.671]], "species": ["Ta", "Ta", "Pb", "Ta", "Ta", "Pb"], "fractional_positions": [[0.125, 0.125, 0.125], [0.625, 0.125, 0.125], [0.750, 0.750, 0.750], [0.125, 0.625, 0.125], [0.125, 0.125, 0.625], [0.500, 0.500, 0.500]]}



Number 1: D(E_F) 4.316 states/eV/cell. Number 2: D(E_F) 8.899 states/eV/cell. Number 3: D(E_F) 1.819 states/eV/cell. Number 4: D(E_F) 5.562 states/eV/cell.